The following is a DFT calculation (PBE-GGA) of an optimized crystal structure of CoBi2Au.

a = 3.4651 Å, b = 3.4651 Å, c = 28.9773 Å
α = 90.00°, β = 90.00°, γ = 120.00°
Closest atoms and distances in Å follow each position.
Space group R-3m (No. 166, hexagonal axes)
Inequivalent atoms, fractional coordinates:
Co  0.0000  0.0000  0.0000 (multiplicity 3)  2 Bi 2.56
Bi  0.0000  0.0000  0.0885 (multiplicity 6)  1 Co 2.56
Au  0.0000  0.0000  0.5000 (multiplicity 3)  6 Bi 3.02

Summary:
- Final energy: -15.5 eV per formula unit
- D(E_F): 1.17 states/eV/atom
- M_tot: 1.64 μB per formula unit

The following is a DFT calculation (PBE-GGA) of an optimized crystal structure of CoBi3Au.

a = 5.0898 Å, b = 5.0898 Å, c = 5.0898 Å
α = 90.00°, β = 90.00°, γ = 90.00°
Closest atoms and distances in Å follow each position.
Space group Pm-3m (No. 221)
Inequivalent atoms, fractional coordinates:
Co  0.0000  0.0000  0.0000 (multiplicity 1)  6 Bi 2.54
Bi  0.0000  0.0000  0.5000 (multiplicity 3)  2 Co 2.54
Au  0.5000  0.5000  0.5000 (multiplicity 1)  12 Bi 3.60

Summary:
- Final energy: -20.1 eV per formula unit
- D(E_F): 1.06 states/eV/atom
- M_tot: 0.00 μB per formula unit